w | ! Tb2LuHf (PBE, relaxed); values from VASP
! - symmetry = P4/mmm, No. 123
! - ρ (g/cm3) = 9.94
! - total moment (μB/atom) = 0.000
&SYSTEM
  ibrav = 0, nat = 4, ntyp = 3
/
ATOMIC_SPECIES
Lu 174.97 Lu.upf
Tb 158.93 Tb.upf
Hf 178.49 Hf.upf
CELL_PARAMETERS angstrom
-0.8075 0.0064 -4.7254
3.9898 -2.6485 -0.6854
-2.6116 -4.0483 0.4408
ATOMIC_POSITIONS angstrom
Lu 0.2854 -3.3452 -2.4850
Tb -1.3058 -2.0241 0.2204
Tb 1.9949 -1.3242 -0.3427
Hf -0.4037 0.0032 -2.3627

=====

x | ! Tb2LuHf (PBE, relaxed); values from VASP
! - symmetry = R-3m, No. 166
! - ρ (g/cm3) = 9.80
! - total moment (μB/atom) = 0.000
&SYSTEM
  ibrav = 0, nat = 4, ntyp = 3
/
ATOMIC_SPECIES
Lu 174.97 Lu.upf
Hf 178.49 Hf.upf
Tb 158.93 Tb.upf
CELL_PARAMETERS angstrom
-0.7868 2.2241 -2.3379
-3.0874 1.2133 -0.1661
1.7843 9.9815 6.5357
ATOMIC_POSITIONS angstrom
Lu -1.0449 6.7094 2.0158
Hf 0.0000 0.0000 0.0000
Tb -3.0710 5.7446 -0.5795
Tb 0.9812 7.6743 4.6111

=====

Which one sits at the top of the stability order? w does.

=====

w | ! TbLu2Hf (PBE, relaxed); values from VASP
! - symmetry = Fm-3m, No. 225
! - ρ (g/cm3) = 10.25
! - total moment (μB/atom) = 0.096
&SYSTEM
  ibrav = 0, nat = 4, ntyp = 3
/
ATOMIC_SPECIES
Hf 178.49 Hf.upf
Lu 174.97 Lu.upf
Tb 158.93 Tb.upf
CELL_PARAMETERS angstrom
-0.7388 -0.5993 -5.3165
3.3142 -3.1761 -2.8459
-1.7914 -4.7013 -1.9645
ATOMIC_POSITIONS angstrom
Hf 0.3920 -4.2383 -5.0634
Lu 0.1960 -2.1192 -2.5317
Lu 0.5880 -6.3575 -7.5952
Tb 0.0000 0.0000 0.0000

=====

x | ! TbLu2Hf (PBE, relaxed); values from VASP
! - symmetry = P4/mmm, No. 123
! - ρ (g/cm3) = 10.39
! - total moment (μB/atom) = 0.000
&SYSTEM
  ibrav = 0, nat = 4, ntyp = 3
/
ATOMIC_SPECIES
Lu 174.97 Lu.upf
Tb 158.93 Tb.upf
Hf 178.49 Hf.upf
CELL_PARAMETERS angstrom
-4.5883 1.3700 0.2221
-1.1612 -3.3714 -3.1925
-0.7562 -3.1095 3.5588
ATOMIC_POSITIONS angstrom
Lu -0.5806 -1.6857 -1.5962
Lu -0.3781 -1.5548 1.7794
Tb -3.2529 -2.5554 0.2942
Hf -2.2942 0.6850 0.1110

=====

y | ! TbLu2Hf (PBE, relaxed); values from VASP
! - symmetry = P4/mmm, No. 123
! - ρ (g/cm3) = 10.11
! - total moment (μB/atom) = 0.013
&SYSTEM
  ibrav = 0, nat = 4, ntyp = 3
/
ATOMIC_SPECIES
Tb 158.93 Tb.upf
Hf 178.49 Hf.upf
Lu 174.97 Lu.upf
CELL_PARAMETERS angstrom
-1.4483 0.6619 3.5508
-3.6047 -0.5073 -1.3757
0.4385 -7.2822 1.5364
ATOMIC_POSITIONS angstrom
Tb -2.3072 -3.5638 1.8557
Hf -2.5265 0.0773 1.0875
Lu 0.0961 -1.5960 0.3367
Lu 0.3424 -5.6862 1.1997

=====

Which one sits at the top of the stability order? x does.

=====

w | ! LuHfTc2 (PBE, relaxed); values from VASP
! - symmetry = Fm-3m, No. 225
! - ρ (g/cm3) = 12.59
! - total moment (μB/atom) = 0.000
&SYSTEM
  ibrav = 0, nat = 4, ntyp = 3
/
ATOMIC_SPECIES
Tc 98.00 Tc.upf
Hf 178.49 Hf.upf
Lu 174.97 Lu.upf
CELL_PARAMETERS angstrom
-1.0905 -4.5038 -0.6572
2.9227 -2.7959 -2.3550
2.3771 -3.3375 2.2617
ATOMIC_POSITIONS angstrom
Tc 3.1570 -7.9779 -0.5629
Tc 1.0523 -2.6593 -0.1876
Hf 2.1046 -5.3186 -0.3753
Lu 0.0000 0.0000 0.0000

=====

x | ! LuHfTc2 (PBE, relaxed); values from VASP
! - symmetry = P4/mmm, No. 123
! - ρ (g/cm3) = 12.51
! - total moment (μB/atom) = 0.000
&SYSTEM
  ibrav = 0, nat = 4, ntyp = 3
/
ATOMIC_SPECIES
Tc 98.00 Tc.upf
Hf 178.49 Hf.upf
Lu 174.97 Lu.upf
CELL_PARAMETERS angstrom
-2.6085 0.7205 1.8919
1.1559 -2.0032 2.3567
3.3669 5.1133 2.6949
ATOMIC_POSITIONS angstrom
Tc 2.5809 3.9197 2.0658
Tc 0.7860 1.1937 0.6291
Hf -0.7263 -0.6413 2.1243
Lu 0.9571 1.9153 3.4717

=====

Which one sits at the top of the stability order? x does.

=====

w | ! LuHfTe (PBE, relaxed); values from VASP
! - symmetry = P-6m2, No. 187
! - ρ (g/cm3) = 10.28
! - total moment (μB/atom) = 0.000
&SYSTEM
  ibrav = 0, nat = 3, ntyp = 3
/
ATOMIC_SPECIES
Hf 178.49 Hf.upf
Te 127.60 Te.upf
Lu 174.97 Lu.upf
CELL_PARAMETERS angstrom
-1.0017 3.0463 -1.8202
-4.5602 -0.4017 1.8372
3.4228 2.5826 2.4386
ATOMIC_POSITIONS angstrom
Hf 0.5947 2.0962 1.9344
Te -0.1664 0.5060 -0.3024
Lu -2.5673 2.6249 0.8236

=====

x | ! LuHfTe (PBE, relaxed); values from VASP
! - symmetry = I4mm, No. 107
! - ρ (g/cm3) = 10.76
! - total moment (μB/atom) = 0.000
&SYSTEM
  ibrav = 0, nat = 3, ntyp = 3
/
ATOMIC_SPECIES
Lu 174.97 Lu.upf
Hf 178.49 Hf.upf
Te 127.60 Te.upf
CELL_PARAMETERS angstrom
-2.1281 2.3213 -1.9433
-3.0219 -1.4856 1.5345
2.8422 3.1985 4.2316
ATOMIC_POSITIONS angstrom
Lu -2.3093 4.0132 3.7994
Hf 0.1687 2.2828 2.5422
Te -2.4749 1.7725 1.3042

=====

Which one sits at the top of the stability order? x does.

=====

w | ! Lu2HfTe (PBE, relaxed); values from VASP
! - symmetry = P4/mmm, No. 123
! - ρ (g/cm3) = 10.67
! - total moment (μB/atom) = 0.003
&SYSTEM
  ibrav = 0, nat = 4, ntyp = 3
/
ATOMIC_SPECIES
Lu 174.97 Lu.upf
Hf 178.49 Hf.upf
Te 127.60 Te.upf
CELL_PARAMETERS angstrom
-1.7948 -1.3003 -3.0245
2.1676 -3.0595 0.0291
-4.7975 -3.3582 4.2907
ATOMIC_POSITIONS angstrom
Lu -1.1669 -0.8168 1.0436
Lu -3.6307 -2.5414 3.2471
Hf -2.2123 -3.8590 0.6476
Te 0.1864 -2.1799 -1.4977

=====

x | ! Lu2HfTe (PBE, relaxed); values from VASP
! - symmetry = R-3m, No. 166
! - ρ (g/cm3) = 9.40
! - total moment (μB/atom) = 0.272
&SYSTEM
  ibrav = 0, nat = 4, ntyp = 3
/
ATOMIC_SPECIES
Hf 178.49 Hf.upf
Te 127.60 Te.upf
Lu 174.97 Lu.upf
CELL_PARAMETERS angstrom
-3.1773 -0.9446 -1.3850
-2.2368 -2.0803 1.8909
-6.1337 7.4374 4.3395
ATOMIC_POSITIONS angstrom
Hf 0.0000 0.0000 0.0000
Te -5.7739 2.2063 2.4227
Lu -4.8632 4.9589 3.1154
Lu -6.6845 -0.5463 1.7299

=====

Which one sits at the top of the stability order? w does.

=====

w | ! LuHfTh (PBE, relaxed); values from VASP
! - symmetry = I4mm, No. 107
! - ρ (g/cm3) = 11.66
! - total moment (μB/atom) = 0.000
&SYSTEM
  ibrav = 0, nat = 3, ntyp = 3
/
ATOMIC_SPECIES
Hf 178.49 Hf.upf
Lu 174.97 Lu.upf
Th 232.04 Th.upf
CELL_PARAMETERS angstrom
-2.7980 -0.9427 1.5654
1.8144 -1.7731 2.1753
0.9762 7.3236 2.5881
ATOMIC_POSITIONS angstrom
Hf -0.3337 0.5892 3.3255
Lu 0.0106 0.1311 0.0980
Th 0.3157 3.8875 2.9053

=====

x | ! LuHfTh (PBE, relaxed); values from VASP
! - symmetry = P-6m2, No. 187
! - ρ (g/cm3) = 11.57
! - total moment (μB/atom) = 0.000
&SYSTEM
  ibrav = 0, nat = 3, ntyp = 3
/
ATOMIC_SPECIES
Lu 174.97 Lu.upf
Th 232.04 Th.upf
Hf 178.49 Hf.upf
CELL_PARAMETERS angstrom
3.3939 0.0000 0.0000
0.0000 5.3464 0.0000
0.0000 -2.6732 4.6301
ATOMIC_POSITIONS angstrom
Lu 0.5640 0.0000 0.0000
Th 2.2627 2.6732 1.5434
Hf 0.5672 0.0000 3.0867

=====

Which one sits at the top of the stability order? w does.

=====

w | ! LuHf2Ti (PBE, relaxed); values from VASP
! - symmetry = P4/mmm, No. 123
! - ρ (g/cm3) = 10.77
! - total moment (μB/atom) = 0.000
&SYSTEM
  ibrav = 0, nat = 4, ntyp = 3
/
ATOMIC_SPECIES
Ti 47.87 Ti.upf
Lu 174.97 Lu.upf
Hf 178.49 Hf.upf
CELL_PARAMETERS angstrom
-2.2972 -1.5695 3.5190
-3.3376 -1.1967 -2.7125
1.8878 -4.0072 -0.5549
ATOMIC_POSITIONS angstrom
Ti -1.1486 -0.7848 1.7595
Lu -1.8735 -3.3867 0.1258
Hf 0.9439 -2.0036 -0.2775
Hf -1.6688 -0.5984 -1.3563

=====

x | ! LuHf2Ti (PBE, relaxed); values from VASP
! - symmetry = R-3m, No. 166
! - ρ (g/cm3) = 10.72
! - total moment (μB/atom) = 0.000
&SYSTEM
  ibrav = 0, nat = 4, ntyp = 3
/
ATOMIC_SPECIES
Hf 178.49 Hf.upf
Ti 47.87 Ti.upf
Lu 174.97 Lu.upf
CELL_PARAMETERS angstrom
-2.7494 1.5622 0.1393
-1.3742 0.5386 2.8001
3.7524 9.6530 1.7737
ATOMIC_POSITIONS angstrom
Hf -0.1924 2.7645 1.1629
Hf -0.1787 8.9893 3.5503
Ti 0.0000 0.0000 0.0000
Lu -0.1856 5.8769 2.3566

=====

Which one sits at the top of the stability order? x does.

=====

w | ! TmLu2Hf (PBE, relaxed); values from VASP
! - symmetry = P4/mmm, No. 123
! - ρ (g/cm3) = 10.71
! - total moment (μB/atom) = 0.001
&SYSTEM
  ibrav = 0, nat = 4, ntyp = 3
/
ATOMIC_SPECIES
Lu 174.97 Lu.upf
Tm 168.93 Tm.upf
Hf 178.49 Hf.upf
CELL_PARAMETERS angstrom
4.7678 0.0000 0.0000
0.0000 4.7620 0.0000
0.0000 0.0000 4.7620
ATOMIC_POSITIONS angstrom
Lu 0.0000 2.3810 0.0000
Lu 0.0000 0.0000 2.3810
Tm 2.3839 2.3810 2.3810
Hf 2.3839 0.0000 0.0000

=====

x | ! TmLu2Hf (PBE, relaxed); values from VASP
! - symmetry = Fm-3m, No. 225
! - ρ (g/cm3) = 10.49
! - total moment (μB/atom) = 0.723
&SYSTEM
  ibrav = 0, nat = 4, ntyp = 3
/
ATOMIC_SPECIES
Lu 174.97 Lu.upf
Tm 168.93 Tm.upf
Hf 178.49 Hf.upf
CELL_PARAMETERS angstrom
5.3849 0.0000 0.0000
2.6925 4.6635 0.0000
2.6925 1.5545 4.3968
ATOMIC_POSITIONS angstrom
Lu 8.0774 4.6635 3.2976
Lu 2.6925 1.5545 1.0992
Tm 0.0000 0.0000 0.0000
Hf 5.3849 3.1090 2.1984

=====

y | ! TmLu2Hf (PBE, relaxed); values from VASP
! - symmetry = P4/mmm, No. 123
! - ρ (g/cm3) = 10.49
! - total moment (μB/atom) = 0.000
&SYSTEM
  ibrav = 0, nat = 4, ntyp = 3
/
ATOMIC_SPECIES
Lu 174.97 Lu.upf
Hf 178.49 Hf.upf
Tm 168.93 Tm.upf
CELL_PARAMETERS angstrom
3.9093 0.0000 0.0000
0.0000 3.9093 0.0000
0.0000 0.0000 7.2215
ATOMIC_POSITIONS angstrom
Lu 0.0000 0.0000 5.5977
Lu 0.0000 0.0000 1.6239
Hf 1.9547 1.9547 0.0000
Tm 1.9547 1.9547 3.6108

=====

Which one sits at the top of the stability order? w does.

=====

w | ! Tm2LuHf (PBE, relaxed); values from VASP
! - symmetry = P4/mmm, No. 123
! - ρ (g/cm3) = 10.55
! - total moment (μB/atom) = 0.000
&SYSTEM
  ibrav = 0, nat = 4, ntyp = 3
/
ATOMIC_SPECIES
Hf 178.49 Hf.upf
Tm 168.93 Tm.upf
Lu 174.97 Lu.upf
CELL_PARAMETERS angstrom
4.7674 0.0000 0.0000
0.0000 4.7773 0.0000
0.0000 0.0000 4.7773
ATOMIC_POSITIONS angstrom
Hf 2.3837 0.0000 0.0000
Tm 0.0000 0.0000 2.3887
Tm 0.0000 2.3887 0.0000
Lu 2.3837 2.3887 2.3887

=====

x | ! Tm2LuHf (PBE, relaxed); values from VASP
! - symmetry = P4/mmm, No. 123
! - ρ (g/cm3) = 10.40
! - total moment (μB/atom) = 0.000
&SYSTEM
  ibrav = 0, nat = 4, ntyp = 3
/
ATOMIC_SPECIES
Tm 168.93 Tm.upf
Hf 178.49 Hf.upf
Lu 174.97 Lu.upf
CELL_PARAMETERS angstrom
-0.2771 2.1830 3.2796
-2.2475 -2.7878 1.6658
5.7992 -3.1354 2.5770
ATOMIC_POSITIONS angstrom
Tm 1.5771 -0.8527 0.7008
Tm 4.2221 -2.2827 1.8762
Hf 1.6373 -1.8701 3.7612
Lu -1.2623 -0.3024 2.4727

=====

y | ! Tm2LuHf (PBE, relaxed); values from VASP
! - symmetry = R-3m, No. 166
! - ρ (g/cm3) = 10.36
! - total moment (μB/atom) = 0.000
&SYSTEM
  ibrav = 0, nat = 4, ntyp = 3
/
ATOMIC_SPECIES
Tm 168.93 Tm.upf
Lu 174.97 Lu.upf
Hf 178.49 Hf.upf
CELL_PARAMETERS angstrom
3.2883 0.0000 0.0000
1.6442 2.8478 0.0000
1.6442 0.9493 11.8285
ATOMIC_POSITIONS angstrom
Tm 4.9325 2.8478 3.1144
Tm 1.6442 0.9493 8.7141
Lu 3.2883 1.8985 5.9142
Hf 0.0000 0.0000 0.0000

=====

Which one sits at the top of the stability order? w does.

=====

w | ! Y2LuHf (PBE, relaxed); values from VASP
! - symmetry = P4/mmm, No. 123
! - ρ (g/cm3) = 7.71
! - total moment (μB/atom) = 0.000
&SYSTEM
  ibrav = 0, nat = 4, ntyp = 3
/
ATOMIC_SPECIES
Y 88.91 Y.upf
Lu 174.97 Lu.upf
Hf 178.49 Hf.upf
CELL_PARAMETERS angstrom
3.9925 0.0000 0.0000
0.0000 3.9925 0.0000
0.0000 0.0000 7.1799
ATOMIC_POSITIONS angstrom
Y 0.0000 0.0000 1.9540
Y 0.0000 0.0000 5.2259
Lu 1.9963 1.9963 0.0000
Hf 1.9963 1.9963 3.5900

=====

x | ! Y2LuHf (PBE, relaxed); values from VASP
! - symmetry = P4/mmm, No. 123
! - ρ (g/cm3) = 7.81
! - total moment (μB/atom) = 0.002
&SYSTEM
  ibrav = 0, nat = 4, ntyp = 3
/
ATOMIC_SPECIES
Lu 174.97 Lu.upf
Hf 178.49 Hf.upf
Y 88.91 Y.upf
CELL_PARAMETERS angstrom
4.8173 0.0000 0.0000
0.0000 4.8419 0.0000
0.0000 0.0000 4.8419
ATOMIC_POSITIONS angstrom
Lu 2.4086 2.4210 2.4210
Hf 2.4086 0.0000 0.0000
Y 0.0000 2.4210 0.0000
Y 0.0000 0.0000 2.4210

=====

Which one sits at the top of the stability order? x does.

=====

w | ! LuHf2Zr (PBE, relaxed); values from VASP
! - symmetry = P4/mmm, No. 123
! - ρ (g/cm3) = 10.76
! - total moment (μB/atom) = 0.000
&SYSTEM
  ibrav = 0, nat = 4, ntyp = 3
/
ATOMIC_SPECIES
Hf 178.49 Hf.upf
Lu 174.97 Lu.upf
Zr 91.22 Zr.upf
CELL_PARAMETERS angstrom
-3.3262 0.7479 1.5752
-1.1957 -3.4476 -0.8880
2.3038 -2.3380 5.9748
ATOMIC_POSITIONS angstrom
Hf 1.8029 -1.8297 4.6759
Hf 0.5008 -0.5083 1.2989
Lu -1.1090 -2.5188 3.3310
Zr -2.2609 -1.3498 0.3436

=====

x | ! LuHf2Zr (PBE, relaxed); values from VASP
! - symmetry = P4/mmm, No. 123
! - ρ (g/cm3) = 10.85
! - total moment (μB/atom) = 0.000
&SYSTEM
  ibrav = 0, nat = 4, ntyp = 3
/
ATOMIC_SPECIES
Lu 174.97 Lu.upf
Hf 178.49 Hf.upf
Zr 91.22 Zr.upf
CELL_PARAMETERS angstrom
4.5889 0.0000 0.0000
0.0000 4.5593 0.0000
0.0000 0.0000 4.5593
ATOMIC_POSITIONS angstrom
Lu 2.2945 2.2796 2.2796
Hf 0.0000 0.0000 2.2796
Hf 0.0000 2.2796 0.0000
Zr 2.2945 0.0000 0.0000

=====

Which one sits at the top of the stability order? x does.

=====

w | ! Hf3Mg (PBE, relaxed); values from VASP
! - symmetry = Pm-3m, No. 221
! - ρ (g/cm3) = 10.67
! - total moment (μB/atom) = 0.000
&SYSTEM
  ibrav = 0, nat = 4, ntyp = 2
/
ATOMIC_SPECIES
Mg 24.30 Mg.upf
Hf 178.49 Hf.upf
CELL_PARAMETERS angstrom
4.4336 0.0000 0.0000
0.0000 4.4336 0.0000
0.0000 0.0000 4.4336
ATOMIC_POSITIONS angstrom
Mg 0.0000 0.0000 0.0000
Hf 2.2168 2.2168 0.0000
Hf 2.2168 0.0000 2.2168
Hf 0.0000 2.2168 2.2168

=====

x | ! Hf3Mg (PBE, relaxed); values from VASP
! - symmetry = Pmm2, No. 25
! - ρ (g/cm3) = 10.48
! - total moment (μB/atom) = 0.000
&SYSTEM
  ibrav = 0, nat = 4, ntyp = 2
/
ATOMIC_SPECIES
Hf 178.49 Hf.upf
Mg 24.30 Mg.upf
CELL_PARAMETERS angstrom
3.1101 0.0000 0.0000
0.0000 5.1582 0.0000
0.0000 0.0000 5.5273
ATOMIC_POSITIONS angstrom
Hf 0.0000 0.0000 5.4963
Hf 1.5550 0.0000 2.7876
Hf 1.5550 2.5791 4.6383
Mg 0.0000 2.5791 1.8171

=====

y | ! Hf3Mg (PBE, relaxed); values from VASP
! - symmetry = Fm-3m, No. 225
! - ρ (g/cm3) = 10.76
! - total moment (μB/atom) = 0.001
&SYSTEM
  ibrav = 0, nat = 4, ntyp = 2
/
ATOMIC_SPECIES
Hf 178.49 Hf.upf
Mg 24.30 Mg.upf
CELL_PARAMETERS angstrom
-4.4724 0.7383 2.0185
-2.8262 -3.8802 1.2564
-0.7684 -1.0636 4.7854
ATOMIC_POSITIONS angstrom
Hf 0.0000 0.0000 0.0000
Hf -2.0168 -1.0514 2.0151
Hf -6.0503 -3.1541 6.0452
Mg -4.0335 -2.1027 4.0301

=====

Which one sits at the top of the stability order? w does.